# 1
Computed, not measured: an optimized crystal structure of Ca8Ag2Pd3 at the PBE level of DFT.

abc: 5.0742 10.1713 8.8800
angles: 125.16 90.00 90.00
With the nearest neighbours (Å) after each atom.
Element x y z (fractional)
Ca: 0.5000 0.6327 0.7626  3 Pd 3.05-3.07, 2 Ag 3.16-3.19
Ca: 0.5000 0.1297 0.7630  3 Pd 3.06-3.07, 2 Ag 3.15-3.21
Ca: 0.5000 0.8703 0.2370  3 Pd 3.06-3.07, 2 Ag 3.15-3.21
Ca: 0.0000 0.6194 0.2382  2 Pd 3.08, 2 Ag 3.18
Ca: 0.0000 0.8813 0.7635  4 Pd 3.06-3.07, 2 Ag 3.17
Ca: 0.0000 0.3806 0.7618  2 Pd 3.08, 2 Ag 3.18
Ca: 0.0000 0.1187 0.2365  4 Pd 3.06-3.07, 2 Ag 3.17
Ca: 0.5000 0.3673 0.2374  3 Pd 3.05-3.07, 2 Ag 3.16-3.19
Ag: 0.5000 0.2490 0.4979  8 Ca 3.15-3.21
Ag: 0.5000 0.7510 0.5021  8 Ca 3.15-3.21
Pd: 0.0000 0.2496 0.0000  8 Ca 3.06-3.08
Pd: 0.5000 0.0000 0.0000  8 Ca 3.05-3.06
Pd: 0.0000 0.7504 0.0000  8 Ca 3.06-3.08

Values from the calculation:
- ΔE_f (kJ per mole of atoms) = -40
- crystal system = monoclinic
- space group = P2/m, No. 10

# 2
Computed, not measured: an optimized crystal structure of ScCuW2 at the PBE level of DFT.

abc: 2.7213 4.5920 5.3482
angles: 90.00 90.00 90.00
With the nearest neighbours (Å) after each atom.
Element x y z (fractional)
W: 0.0000 0.0000 0.5053  4 W 2.62-2.73
W: 0.0000 0.0000 0.9947  4 W 2.62-2.73
Sc: 0.5000 0.5000 0.7500  2 Cu 2.67, 2 Sc 2.72, 8 W 2.97
Cu: 0.5000 0.5000 0.2500  2 Sc 2.67, 2 Cu 2.72

Values from the calculation:
- ΔE_f (kJ per mole of atoms) = 41
- crystal system = orthorhombic
- polymorph energy (0 for the lowest one) (meV/atom) = 270
- space group = Pmmm, No. 47

# 3
Computed, not measured: an optimized crystal structure of Na3Bi5Au2 at the PBE level of DFT.

abc: 7.0380 10.7209 10.7209
angles: 69.75 70.84 70.84
With the nearest neighbours (Å) after each atom.
Element x y z (fractional)
Au: 0.8622 0.3023 0.9733  3 Bi 2.74-2.87
Au: 0.3622 0.9733 0.3023  3 Bi 2.74-2.87
Au: 0.1378 0.6977 0.0267  3 Bi 2.74-2.87
Au: 0.6378 0.0267 0.6977  3 Bi 2.74-2.87
Bi: 0.5472 0.2028 0.2028  2 Au 2.87
Bi: 0.6418 0.2463 0.4701  1 Au 2.74
Bi: 0.9528 0.7972 0.7972  2 Au 2.87
Bi: 0.4528 0.7972 0.7972  2 Au 2.87
Bi: 0.8582 0.5299 0.7537  1 Au 2.74
Bi: 0.0472 0.2028 0.2028  2 Au 2.87
Bi: 0.2500 0.5000 0.5000  6 Bi 3.19-3.52
Bi: 0.1418 0.4701 0.2463  1 Au 2.74
Bi: 0.7500 0.5000 0.5000  6 Bi 3.19-3.52
Bi: 0.3582 0.7537 0.5299  1 Au 2.74
Na: 0.1613 0.0999 0.5775  3 Au 3.36-3.73, 3 Bi 3.66-3.71
Na: 0.7500 0.0000 0.0000  2 Bi 3.27, 4 Au 3.48, 2 Na 3.52
Na: 0.3387 0.4225 0.9001  3 Au 3.36-3.73, 3 Bi 3.66-3.71
Na: 0.2500 0.0000 0.0000  2 Bi 3.27, 4 Au 3.48, 2 Na 3.52
Na: 0.8387 0.9001 0.4225  3 Au 3.36-3.73, 3 Bi 3.66-3.71
Na: 0.6613 0.5775 0.0999  3 Au 3.36-3.73, 3 Bi 3.66-3.71

Values from the calculation:
- ΔE_f (kJ per mole of atoms) = -8
- crystal system = orthorhombic
- space group = Ibam, No. 72

# 4
Computed, not measured: an optimized crystal structure of AlCrP at the PBE level of DFT.

abc: 3.9090 3.9090 3.9090
angles: 60.00 60.00 60.00
With the nearest neighbours (Å) after each atom.
Element x y z (fractional)
Cr: 0.5000 0.5000 0.5000  4 P 2.39
P: 0.7500 0.7500 0.7500  4 Al 2.39, 4 Cr 2.39
Al: 0.0000 0.0000 0.0000  4 P 2.39

Values from the calculation:
- ΔE_f (kJ per mole of atoms) = 5
- crystal system = cubic
- polymorph energy (0 for the lowest one) (meV/atom) = 445
- space group = F-43m, No. 216

# 5
Computed, not measured: an optimized crystal structure of TaTeAs at the PBE level of DFT.

abc: 6.0537 6.3698 7.8510
angles: 92.72 90.00 90.00
With the nearest neighbours (Å) after each atom.
Element x y z (fractional)
As: 0.2166 0.0911 0.8351  3 Ta 2.51-2.64
As: 0.7834 0.9089 0.1649  3 Ta 2.51-2.64
As: 0.7166 0.9089 0.6649  3 Ta 2.51-2.64
As: 0.2834 0.0911 0.3351  3 Ta 2.51-2.64
Ta: 0.9859 0.7776 0.9021  3 As 2.51-2.64, 1 Te 2.81
Ta: 0.5141 0.7776 0.4021  3 As 2.51-2.64, 1 Te 2.81
Ta: 0.4859 0.2224 0.5979  3 As 2.51-2.64, 1 Te 2.81
Ta: 0.0141 0.2224 0.0979  3 As 2.51-2.64, 1 Te 2.81
Te: 0.7934 0.4253 0.3896  3 Ta 2.81-2.90
Te: 0.2934 0.5747 0.1104  3 Ta 2.81-2.90
Te: 0.2066 0.5747 0.6104  3 Ta 2.81-2.90
Te: 0.7066 0.4253 0.8896  3 Ta 2.81-2.90

Values from the calculation:
- crystal system = monoclinic
- space group = P2_1/c, No. 14
- raw formation energy (eV per formula unit) = -0.442

# 6
Computed, not measured: an optimized crystal structure of ScIrRh2 at the PBE level of DFT.

abc: 4.4657 4.4657 4.4657
angles: 60.00 60.00 60.00
With the nearest neighbours (Å) after each atom.
Element x y z (fractional)
Rh: 0.7500 0.7500 0.7500  4 Sc 2.73, 4 Ir 2.73
Rh: 0.2500 0.2500 0.2500  4 Ir 2.73, 4 Sc 2.73
Ir: 0.5000 0.5000 0.5000  8 Rh 2.73
Sc: 0.0000 0.0000 0.0000  8 Rh 2.73

Values from the calculation:
- ΔE_f (kJ per mole of atoms) = -28
- crystal system = cubic
- space group = Fm-3m, No. 225

Copy entry 6 word for word.
Computed, not measured: an optimized crystal structure of ScIrRh2 at the PBE level of DFT.

abc: 4.4657 4.4657 4.4657
angles: 60.00 60.00 60.00
With the nearest neighbours (Å) after each atom.
Element x y z (fractional)
Rh: 0.7500 0.7500 0.7500  4 Sc 2.73, 4 Ir 2.73
Rh: 0.2500 0.2500 0.2500  4 Ir 2.73, 4 Sc 2.73
Ir: 0.5000 0.5000 0.5000  8 Rh 2.73
Sc: 0.0000 0.0000 0.0000  8 Rh 2.73

Values from the calculation:
- ΔE_f (kJ per mole of atoms) = -28
- crystal system = cubic
- space group = Fm-3m, No. 225